No. 1
# BaLi, relaxed, DFT PBE
# * spin magnetization: 0.00 μB/cell
# * energy relative to the elements: 0.14 eV per atom
data_BaLi
_chemical_formula_sum 'Ba16 Li16'
_symmetry_space_group_name_H-M 'F d d d'
_symmetry_Int_Tables_number 70
_cell_length_a 7.1903
_cell_length_b 11.0331
_cell_length_c 17.0718
_cell_angle_alpha 90.00
_cell_angle_beta 90.00
_cell_angle_gamma 90.00
loop_
_symmetry_equiv_pos_as_xyz
'x,y,z'
'-x,-y,-z'
'-x+1/4,-y+1/4,z'
'x+1/4,y+1/4,-z'
'x,-y+1/4,-z+1/4'
'-x,y+1/4,z+1/4'
'-x+1/4,y,-z+1/4'
'x+1/4,-y,z+1/4'
'x,y+1/2,z+1/2'
'-x,-y+1/2,-z+1/2'
'-x+1/4,-y+3/4,z+1/2'
'x+1/4,y+3/4,-z+1/2'
'x,-y+3/4,-z+3/4'
'-x,y+3/4,z+3/4'
'-x+1/4,y+1/2,-z+3/4'
'x+1/4,-y+1/2,z+3/4'
'x+1/2,y,z+1/2'
'-x+1/2,-y,-z+1/2'
'-x+3/4,-y+1/4,z+1/2'
'x+3/4,y+1/4,-z+1/2'
'x+1/2,-y+1/4,-z+3/4'
'-x+1/2,y+1/4,z+3/4'
'-x+3/4,y,-z+3/4'
'x+3/4,-y,z+3/4'
'x+1/2,y+1/2,z'
'-x+1/2,-y+1/2,-z'
'-x+3/4,-y+3/4,z'
'x+3/4,y+3/4,-z'
'x+1/2,-y+3/4,-z+1/4'
'-x+1/2,y+3/4,z+1/4'
'-x+3/4,y+1/2,-z+1/4'
'x+3/4,-y+1/2,z+1/4'
loop_
_atom_site_label
_atom_site_type_symbol
_atom_site_fract_x
_atom_site_fract_y
_atom_site_fract_z
_atom_site_occupancy
Ba1 Ba 0.1250 0.2969 0.1250 1
Li1 Li 0.1250 0.1250 0.5454 1

=====

No. 2
# BaLi5, relaxed, DFT PBE
# * spin magnetization: 0.00 μB/cell
# * energy relative to the elements: 0.07 eV per atom
data_BaLi5
_chemical_formula_sum 'Ba2 Li10'
_symmetry_space_group_name_H-M 'C 1 m 1'
_symmetry_Int_Tables_number 8
_cell_length_a 10.2386
_cell_length_b 4.0576
_cell_length_c 8.4904
_cell_angle_alpha 90.00
_cell_angle_beta 105.11
_cell_angle_gamma 90.00
loop_
_symmetry_equiv_pos_as_xyz
'x,y,z'
'x,-y,z'
'x+1/2,y+1/2,z'
'x+1/2,-y+1/2,z'
loop_
_atom_site_label
_atom_site_type_symbol
_atom_site_fract_x
_atom_site_fract_y
_atom_site_fract_z
_atom_site_occupancy
Ba1 Ba 0.0000 0.0000 0.0000 1
Li1 Li 0.9999 0.0000 0.5006 1
Li2 Li 0.1560 0.5000 0.7300 1
Li3 Li 0.1692 0.5000 0.3796 1
Li4 Li 0.3303 0.0000 0.6204 1
Li5 Li 0.3442 0.0000 0.2702 1

=====

No. 3
# BaLi3, relaxed, DFT PBE
# * spin magnetization: 0.00 μB/cell
# * energy relative to the elements: 0.11 eV per atom
data_BaLi3
_chemical_formula_sum 'Ba2 Li6'
_symmetry_space_group_name_H-M 'I m m 2'
_symmetry_Int_Tables_number 44
_cell_length_a 4.0978
_cell_length_b 10.6624
_cell_length_c 5.8362
_cell_angle_alpha 90.00
_cell_angle_beta 90.00
_cell_angle_gamma 90.00
loop_
_symmetry_equiv_pos_as_xyz
'x,y,z'
'-x,-y,z'
'-x,y,z'
'x,-y,z'
'x+1/2,y+1/2,z+1/2'
'-x+1/2,-y+1/2,z+1/2'
'-x+1/2,y+1/2,z+1/2'
'x+1/2,-y+1/2,z+1/2'
loop_
_atom_site_label
_atom_site_type_symbol
_atom_site_fract_x
_atom_site_fract_y
_atom_site_fract_z
_atom_site_occupancy
Ba1 Ba 0.0000 0.0000 0.0000 1
Li1 Li 0.0000 0.2154 0.4989 1
Li2 Li 0.0000 0.5000 0.0001 1